Entry 1:
# Zr4Tc3

A geometry-optimized Zr4Tc3 structure (GGA-PBE, Alexandria).

Computed properties:
* energy relative to the elements: -2.9 kcal/mol of atoms
* offset from the most stable computed form: 105 meV per atom
* size of the total moment: 0.0000 μB per atom
* SG: No. 139

Cell lengths 3.2760, 3.2760, 24.4753 Å; angles 90.00, 90.00, 90.00 degrees
Last column: nearest neighbours and their distance in Å.
Atoms (fractional coordinates):
Zr 0.0000 0.0000 0.0658  4 Tc 2.82, 4 Zr 3.12
Zr 0.0000 0.0000 0.3489  5 Tc 2.88-3.13, 4 Zr 3.12
Zr 0.0000 0.0000 0.6511  5 Tc 2.88-3.13, 4 Zr 3.12
Zr 0.0000 0.0000 0.9342  4 Tc 2.82, 4 Zr 3.12
Zr 0.5000 0.5000 0.1511  5 Tc 2.88-3.13, 4 Zr 3.12
Zr 0.5000 0.5000 0.4342  4 Tc 2.82, 4 Zr 3.12
Zr 0.5000 0.5000 0.5658  4 Tc 2.82, 4 Zr 3.12
Zr 0.5000 0.5000 0.8489  5 Tc 2.88-3.13, 4 Zr 3.12
Tc 0.0000 0.0000 0.2211  4 Tc 2.71, 4 Zr 2.88
Tc 0.0000 0.0000 0.5000  8 Zr 2.82
Tc 0.0000 0.0000 0.7789  4 Tc 2.71, 4 Zr 2.88
Tc 0.5000 0.5000 0.0000  8 Zr 2.82
Tc 0.5000 0.5000 0.2789  4 Tc 2.71, 4 Zr 2.88
Tc 0.5000 0.5000 0.7211  4 Tc 2.71, 4 Zr 2.88

***

Entry 2:
# Zr4Tc

A geometry-optimized Zr4Tc structure (GGA-PBE, Alexandria).

Computed properties:
* energy relative to the elements: 12.0 kcal/mol of atoms
* offset from the most stable computed form: 707 meV per atom
* size of the total moment: 0.0002 μB per atom
* SG: No. 229

Cell lengths 6.2797, 6.2797, 6.2797 Å; angles 90.00, 90.00, 90.00 degrees
Last column: nearest neighbours and their distance in Å.
Atoms (fractional coordinates):
Zr 0.2500 0.2500 0.2500  2 Tc 2.72
Zr 0.2500 0.2500 0.7500  2 Tc 2.72
Zr 0.2500 0.7500 0.2500  2 Tc 2.72
Zr 0.2500 0.7500 0.7500  2 Tc 2.72
Zr 0.7500 0.2500 0.2500  2 Tc 2.72
Zr 0.7500 0.2500 0.7500  2 Tc 2.72
Zr 0.7500 0.7500 0.2500  2 Tc 2.72
Zr 0.7500 0.7500 0.7500  2 Tc 2.72
Tc 0.0000 0.0000 0.0000  8 Zr 2.72
Tc 0.5000 0.5000 0.5000  8 Zr 2.72